Record 1
CdCoRe2Te, PBEsol geometry, DFT meta-GGA SCAN; space group = P4/mmm; total DFT energy (no corrections) = -42.9078 eV/atom; total moment = 1.20 μB/atom
1.0
4.5045 0.0000 0.0000
0.0000 4.8799 0.0000
0.0000 0.0000 4.8799
Re Te Co Cd
2 1 1 1
Direct
0.0000 0.0000 0.5000
0.0000 0.5000 0.0000
0.5000 0.5000 0.5000
0.5000 0.0000 0.0000
0.0000 0.0000 0.0000

***

Record 2
Sb2AuS2, PBEsol geometry, DFT meta-GGA SCAN; space group = P4/mbm; total DFT energy (no corrections) = -32.6066 eV/atom; total moment = 0.00 μB/atom
1.0
-1.7877 -2.7877 -1.7111
1.9570 -4.8260 5.8178
-6.5662 1.8918 3.7780
Sb S Au
4 4 2
Direct
0.0000 0.2963 0.7963
0.0000 0.7963 0.7037
0.0000 0.7037 0.2037
0.0000 0.2037 0.2963
0.5000 0.1404 0.6404
0.5000 0.6404 0.8596
0.5000 0.8596 0.3596
0.5000 0.3596 0.1404
0.0000 0.0000 0.0000
0.0000 0.5000 0.5000